## AlAgHg2Se4 (PBE-GGA)

Data for a geometry-optimized AlAgHg2Se4 structure.

Geometry as extended XYZ:
```
8
Lattice="-3.071 3.071 5.920 3.071 -3.071 5.920 3.071 3.071 -5.920" Properties=species:S:1:pos:R:3 pbc="T T T"
Al 0.000 0.000 0.000
Ag 0.000 0.000 5.920
Hg 3.071 0.000 2.960
Hg 0.000 3.071 2.960
Se 1.431 1.431 -1.345
Se 1.640 -1.640 7.265
Se 1.640 1.640 4.574
Se -1.640 1.640 7.265
```

## Properties
VASP energy   -24.4 eV for the cell shown
Uncorrected formation energy   -0.410 eV/atom
V   223.32 Å³ per cell